1.
This record from Alexandria describes NaPuH2 after structural relaxation. The functional is PBE.

Lattice parameters (Å, degrees): 4.408 4.408 2.843 90.00 90.00 90.00
Atoms (fractional coordinates):
Na: 0.000 0.000 0.000
Pu: 0.500 0.500 0.000
H: 0.000 0.500 0.500
H: 0.500 0.000 0.500

For the spin magnetization, the calculation gives 6.54 μB/cell. Its space-group type is P4/mmm (123).

=====

2.
This record from Alexandria describes Tm8PuBi2 after structural relaxation. The functional is PBE.

Lattice parameters (Å, degrees): 9.133 9.133 8.046 109.35 109.35 30.71
Atoms (fractional coordinates):
Tm: 0.044 0.044 0.250
Tm: 0.145 0.145 0.706
Tm: 0.320 0.320 0.571
Tm: 0.407 0.407 0.038
Tm: 0.593 0.593 0.962
Tm: 0.680 0.680 0.429
Tm: 0.855 0.855 0.294
Tm: 0.956 0.956 0.750
Pu: 0.500 0.500 0.500
Bi: 0.217 0.217 0.156
Bi: 0.783 0.783 0.844

As for the formation energy: -4.8 kcal/mol of atoms. For the spin magnetization, the calculation gives 7.20 μB/cell. Its space-group type is C2/m (12).

=====

3.
This record from Alexandria describes CeFe2Ge4 after structural relaxation. The functional is PBE.

Lattice parameters (Å, degrees): 17.047 4.125 6.410 90.00 90.00 90.00
Atoms (fractional coordinates):
Ce: 0.140 0.250 0.010
Ce: 0.360 0.750 0.510
Ce: 0.640 0.250 0.490
Ce: 0.860 0.750 0.990
Fe: 0.035 0.750 0.747
Fe: 0.214 0.250 0.488
Fe: 0.286 0.750 0.988
Fe: 0.465 0.250 0.247
Fe: 0.535 0.750 0.753
Fe: 0.714 0.250 0.012
Fe: 0.786 0.750 0.512
Fe: 0.965 0.250 0.253
Ge: 0.029 0.750 0.144
Ge: 0.072 0.250 0.507
Ge: 0.182 0.750 0.700
Ge: 0.198 0.750 0.289
Ge: 0.302 0.250 0.789
Ge: 0.318 0.250 0.200
Ge: 0.428 0.750 0.007
Ge: 0.471 0.250 0.644
Ge: 0.529 0.750 0.356
Ge: 0.572 0.250 0.993
Ge: 0.682 0.750 0.800
Ge: 0.698 0.750 0.211
Ge: 0.802 0.250 0.711
Ge: 0.818 0.250 0.300
Ge: 0.928 0.750 0.493
Ge: 0.971 0.250 0.856

As for the formation energy: -7.4 kcal/mol of atoms. For the spin magnetization, the calculation gives 0.00 μB/cell. Its space-group type is Pnma (62).

=====

4.
This record from Alexandria describes Nd2Tl2Hg4Pb after structural relaxation. The functional is PBE.

Lattice parameters (Å, degrees): 7.353 7.353 7.353 119.83 119.83 90.30
Atoms (fractional coordinates):
Nd: 0.199 0.199 0.000
Nd: 0.801 0.801 0.000
Tl: 0.250 0.750 0.500
Tl: 0.750 0.250 0.500
Hg: 0.225 0.225 0.449
Hg: 0.225 0.775 0.000
Hg: 0.775 0.225 0.000
Hg: 0.775 0.775 0.551
Pb: 0.500 0.500 0.000

As for the formation energy: -2.7 kcal/mol of atoms. For the spin magnetization, the calculation gives 0.00 μB/cell. Its space-group type is I4/mmm (139).

=====

5.
This record from Alexandria describes Be3PdPb after structural relaxation. The functional is PBE.

Lattice parameters (Å, degrees): 4.376 4.376 4.376 90.00 90.00 90.00
Atoms (fractional coordinates):
Be: 0.000 0.000 0.500
Be: 0.000 0.500 0.000
Be: 0.500 0.000 0.000
Pd: 0.000 0.000 0.000
Pb: 0.500 0.500 0.500

As for the formation energy: 8.3 kcal/mol of atoms. For the spin magnetization, the calculation gives 0.00 μB/cell. Its space-group type is Pm-3m (221).

=====

6.
This record from Alexandria describes Ce2YPuN4 after structural relaxation. The functional is PBE.

Lattice parameters (Å, degrees): 6.094 3.531 6.110 90.00 109.54 90.00
Atoms (fractional coordinates):
Ce: 0.000 0.000 0.000
Ce: 0.500 0.500 0.000
Y: 0.000 0.500 0.500
Pu: 0.500 0.000 0.500
N: 0.252 0.000 0.746
N: 0.256 0.500 0.260
N: 0.744 0.500 0.740
N: 0.748 0.000 0.254

Its energy relative to the elements, uncorrected is -1.478 eV/atom. For the spin magnetization, the calculation gives 5.71 μB/cell. Its space-group type is P2/m (10).

=====

| no. | DFT total energy (hartree per atom) |
| --- | --- |
| 1 | -0.202 |
| 2 | -0.201 |
| 3 | -0.229 |
| 4 | -0.083 |
| 5 | -0.134 |
| 6 | -0.357 |